Record 1
Compound: CaAc2P3Rh12
Source: Alexandria
Functional: PBE
Structure: optimized geometry

Values from the calculation:
Energy of formation from the pure elements = -0.236 eV per atom
Crystal system = trigonal

Cell: 8.6600 8.6600 15.2862 Å, 90.00 90.00 120.00°
Space group R-3m (No. 166, hexagonal axes)
Inequivalent atoms, fractional coordinates:
1 Ca 0.0000 0.0000 0.0000 x3
2 Ac 0.0000 0.0000 0.3906 x6
3 P 0.0000 0.5000 0.5000 x9
4 Rh 0.0134 0.5067 0.3566 x18
5 Rh 0.0571 0.5286 0.8542 x18

=====

Record 2
Compound: NbIr4Ru
Source: Alexandria
Functional: PBE
Structure: optimized geometry

Values from the calculation:
Energy of formation from the pure elements = -0.090 eV per atom
Crystal system = monoclinic

Cell: 5.484 4.538 7.934 Å, 90.00 109.70 90.00°
Space group P2_1/m (No. 11)
Inequivalent atoms, fractional coordinates:
1 Nb 0.201 0.250 0.401 x2
2 Ir 0.105 0.250 0.717 x2
3 Ir 0.211 0.750 0.923 x2
4 Ir 0.294 0.250 0.077 x2
5 Ir 0.393 0.750 0.283 x2
6 Ru 0.305 0.750 0.612 x2

=====

Record 3
Compound: Ac2ZnInAu6
Source: Alexandria
Functional: PBE
Structure: optimized geometry

Values from the calculation:
Energy of formation from the pure elements = -0.505 eV per atom
Crystal system = triclinic

Cell: 5.672 7.168 7.235 Å, 79.95 66.98 66.79°
Space group P-1 (No. 2)
Inequivalent atoms, fractional coordinates:
1 Ac 0.247 0.220 0.284 x2
2 Zn 0.500 0.500 0.500 x1
3 In 0.000 0.000 0.000 x1
4 Au 0.235 0.756 0.276 x2
5 Au 0.258 0.588 0.900 x2
6 Au 0.266 0.245 0.725 x2

=====

Record 4
Compound: SrBi2Rh
Source: Alexandria
Functional: PBE
Structure: optimized geometry

Values from the calculation:
Energy of formation from the pure elements = -0.180 eV per atom
Crystal system = cubic

Cell: 7.466 7.466 7.466 Å, 90.00 90.00 90.00°
Space group Fm-3m (No. 225)
Inequivalent atoms, fractional coordinates:
1 Sr 0.000 0.000 0.000 x4
2 Bi 0.250 0.250 0.250 x8
3 Rh 0.000 0.000 0.500 x4

=====

Record 5
Compound: MoSN2Cl
Source: Alexandria
Functional: PBE
Structure: optimized geometry

Values from the calculation:
ΔE_f (raw) = 2.228 eV/atom
Crystal system = tetragonal
Distance to the lowest polymorph of the same formula = 1.604 eV per atom

Cell: 3.851 3.851 4.416 Å, 90.00 90.00 90.00°
Space group P4/mmm (No. 123)
Inequivalent atoms, fractional coordinates:
1 Mo 0.000 0.000 0.000 x1
2 S 0.500 0.500 0.000 x1
3 N 0.000 0.500 0.500 x2
4 Cl 0.500 0.500 0.500 x1

=====

The following magnetization values (in Bohr magnetons per cell) correspond, in order, to the records above: 0.0 0.0 0.0 0.0 1.7.